{
  "formula": "LaNiP2",
  "functional": "GGA-PBE",
  "state": "relaxed",
  "dos_at_fermi_per_ev_cell": 2.58,
  "rho_g_cm3": 4.89,
  "ef_ev_per_fu": -3.00,
  "sg": "Cm (8)",
  "crystal_system": "monoclinic",
  "volume_a3_per_cell": 88.2,
  "cell": [[5.1608, -1.9410, 0.0000], [5.1608, 1.9410, 0.0000], [-0.0133, 0.0000, 4.4026]],
  "species": ["La", "Ni", "P", "P"],
  "fractional_positions": [[0.0000, 0.0000, 0.0000], [0.2046, 0.2046, 0.5018], [0.5833, 0.5833, 0.5000], [0.8048, 0.8048, 0.4989]]
}